Record 1
Crystalline NaNdEuZn at its relaxed geometry. Source: Alexandria, functional PBE-GGA.

It has space group F-43m (No. 216), with a = 7.785 Å, b = 7.785 Å, c = 7.785 Å, α = 90.00°, β = 90.00° and γ = 90.00°. The inequivalent atoms are Na at (0.000, 0.000, 0.000), Nd at (0.250, 0.250, 0.250), Eu at (0.250, 0.250, 0.750) and Zn at (0.000, 0.000, 0.500).

The value obtained for the final energy is -4.358 eV per atom. As for the theoretical density: 5.4 g cm⁻³. The formation enthalpy at 0 K comes out at 0.050 eV per atom. The calculation puts the density of states at the Fermi level at 2.1190 states/eV per atom. The size of the total moment is 29.9 μB per cell.

Record 2
Crystalline NaEuNi4 at its relaxed geometry. Source: Alexandria, functional PBE-GGA.

It has space group F-43m (No. 216), with a = 7.144 Å, b = 7.144 Å, c = 7.144 Å, α = 90.00°, β = 90.00° and γ = 90.00°. The inequivalent atoms are Na at (0.000, 0.000, 0.000), Eu at (0.250, 0.250, 0.250) and Ni at (0.125, 0.125, 0.625).

The value obtained for the final energy is -5.791 eV per atom. As for the theoretical density: 7.5 g cm⁻³. The formation enthalpy at 0 K comes out at -0.005 eV per atom. The calculation puts the density of states at the Fermi level at 2.4417 states/eV per atom. The size of the total moment is 24.8 μB per cell.